# Ac3SiB2N6

A relaxed structure of Ac3SiB2N6 (GGA-PBE, the Alexandria database).

```
Ac3SiB2N6
1.0
-3.3837 3.2054 -2.6681
-0.8888 -1.1300 5.1745
3.6388 5.3305 1.7891
Ac N B Si
3 6 2 1
direct
0.0000 0.0000 0.0000 Ac
0.3333 0.6667 0.6811 Ac
0.6667 0.3333 0.3189 Ac
0.8273 0.1727 0.6834 N
0.8273 0.6546 0.6834 N
0.6546 0.8273 0.3166 N
0.1727 0.8273 0.3166 N
0.1727 0.3454 0.3166 N
0.3454 0.1727 0.6834 N
0.3333 0.6667 0.2940 B
0.6667 0.3333 0.7060 B
0.0000 0.0000 0.5000 Si
```

Values from the calculation:
**SG**: No. 164
**D(E_F)**: 0.10 states/eV/atom
**Calculated density**: 8.09 g/cm³
**Uncorrected energy**: -0.28078 hartree per atom



# AcSmBN3

A relaxed structure of AcSmBN3 (GGA-PBE, the Alexandria database).

```
AcSmBN3
1.0
5.7553 0.0000 0.0000
-2.8777 4.9842 0.0000
0.0000 0.0000 6.2586
N Sm Ac B
6 2 2 2
direct
0.8144 0.1856 0.7500 N
0.6288 0.8144 0.2500 N
0.3712 0.1856 0.7500 N
0.1856 0.3712 0.2500 N
0.1856 0.8144 0.2500 N
0.8144 0.6288 0.7500 N
0.0000 0.0000 0.5000 Sm
0.0000 0.0000 0.0000 Sm
0.6667 0.3333 0.2500 Ac
0.3333 0.6667 0.7500 Ac
0.6667 0.3333 0.7500 B
0.3333 0.6667 0.2500 B
```

Values from the calculation:
**SG**: No. 194
**Calculated density**: 7.96 g/cm³
**Uncorrected energy**: -0.29224 hartree per atom



# SrAc3B2N6

A relaxed structure of SrAc3B2N6 (GGA-PBE, the Alexandria database).

```
SrAc3B2N6
1.0
5.8919 0.0000 0.0000
-2.9460 5.1026 0.0000
0.0000 0.0000 6.6475
B N Ac Sr
2 6 3 1
direct
0.6667 0.3333 0.7549 B
0.3333 0.6667 0.2451 B
0.1909 0.8091 0.2672 N
0.8091 0.6182 0.7328 N
0.3818 0.1909 0.7328 N
0.1909 0.3818 0.2672 N
0.6182 0.8091 0.2672 N
0.8091 0.1909 0.7328 N
0.6667 0.3333 0.3348 Ac
0.0000 0.0000 0.0000 Ac
0.3333 0.6667 0.6652 Ac
0.0000 0.0000 0.5000 Sr
```

Values from the calculation:
**SG**: No. 164
**D(E_F)**: 0.50 states/eV/atom
**Calculated density**: 7.26 g/cm³
**Uncorrected energy**: -0.27060 hartree per atom



# Ac3TaB2N6

A relaxed structure of Ac3TaB2N6 (GGA-PBE, the Alexandria database).

```
Ac3TaB2N6
1.0
-4.0940 -2.9499 2.2337
0.4637 0.3633 -5.4868
3.9981 -5.5723 -0.0311
B N Ac Ta
2 6 3 1
direct
0.6667 0.3333 0.7139 B
0.3333 0.6667 0.2861 B
0.1789 0.8211 0.3149 N
0.3578 0.1789 0.6851 N
0.6422 0.8211 0.3149 N
0.8211 0.6422 0.6851 N
0.1789 0.3578 0.3149 N
0.8211 0.1789 0.6851 N
0.3333 0.6667 0.6826 Ac
0.6667 0.3333 0.3174 Ac
0.0000 0.0000 0.0000 Ac
0.0000 0.0000 0.5000 Ta
```

Values from the calculation:
**SG**: No. 164
**D(E_F)**: 0.35 states/eV/atom
**Calculated density**: 8.88 g/cm³
**Uncorrected energy**: -0.30819 hartree per atom